Entry 1:
Entry from the Alexandria database: a geometry-optimized AlCu2Ru structure (PBE-GGA).

Cell: 3.043 3.043 5.599 Å, 90.00 90.00 90.00°
Space group P4mm (No. 99)
Inequivalent atoms, fractional coordinates:
1 Al 0.000 0.000 0.000 x1
2 Cu 0.000 0.000 0.492 x1
3 Cu 0.500 0.500 0.263 x1
4 Ru 0.500 0.500 0.759 x1

Values from the calculation:
- Total DFT energy (no corrections): -5.464 eV per atom


Entry 2:
Entry from the Alexandria database: a geometry-optimized Ca2PmPaO6 structure (PBE-GGA).

Cell: 5.9356 5.9356 15.3836 Å, 90.00 90.00 120.00°
Space group R3 (No. 146, hexagonal axes)
Inequivalent atoms, fractional coordinates:
1 Ca 0.0000 0.0000 0.0000 x3
2 Ca 0.0000 0.0000 0.4952 x3
3 Pm 0.0000 0.0000 0.2774 x3
4 Pa 0.0000 0.0000 0.7842 x3
5 O 0.0137 0.7248 0.8785 x9
6 O 0.0148 0.3814 0.0511 x9

Values from the calculation:
- ΔE_f (raw): -3.3544 eV/atom


Entry 3:
Entry from the Alexandria database: a geometry-optimized Ti3GaSb structure (PBE-GGA).

Cell: 4.999 4.999 4.999 Å, 90.00 90.00 90.00°
Space group Pm-3m (No. 221)
Inequivalent atoms, fractional coordinates:
1 Ti 0.000 0.000 0.500 x3
2 Ga 0.500 0.500 0.500 x1
3 Sb 0.000 0.000 0.000 x1

Values from the calculation:
- ΔE_f (raw): 0.7790 eV/atom
- Offset from the most stable computed form: 1160.7 meV per atom


Entry 4:
Entry from the Alexandria database: a geometry-optimized NdCu4Ru structure (PBE-GGA).

Cell: 7.135 7.135 7.135 Å, 90.00 90.00 90.00°
Space group F-43m (No. 216)
Inequivalent atoms, fractional coordinates:
1 Nd 0.000 0.000 0.000 x4
2 Cu 0.123 0.123 0.623 x16
3 Ru 0.250 0.250 0.250 x4

Values from the calculation:
- Total DFT energy (no corrections): -5.057 eV per atom


Entry 5:
Entry from the Alexandria database: a geometry-optimized Au2BrCl structure (PBE-GGA).

Cell: 4.0407 4.0407 19.5752 Å, 90.00 90.00 120.00°
Space group R-3m (No. 166, hexagonal axes)
Inequivalent atoms, fractional coordinates:
1 Au 0.0000 0.0000 0.2484 x6
2 Br 0.0000 0.0000 0.0000 x3
3 Cl 0.0000 0.0000 0.5000 x3

Values from the calculation:
- ΔE_f (raw): 0.2085 eV/atom
- Offset from the most stable computed form: 310.2 meV per atom


Entry 6:
Entry from the Alexandria database: a geometry-optimized La2SmDyBi5 structure (PBE-GGA).

Cell: 5.450 5.450 12.050 Å, 90.00 90.00 90.00°
Space group P4/mmm (No. 123)
Inequivalent atoms, fractional coordinates:
1 La 0.000 0.000 0.222 x2
2 Sm 0.500 0.500 0.500 x1
3 Dy 0.500 0.500 0.000 x1
4 Bi 0.000 0.000 0.500 x1
5 Bi 0.000 0.500 0.000 x2
6 Bi 0.500 0.500 0.252 x2

Values from the calculation:
- Total DFT energy (no corrections): -4.557 eV per atom


| no. | spin magnetization (μB/cell) | Fermi-level density of states (states/eV/atom) |
| --- | --- | --- |
| 1 | 0.0 | 0.757 |
| 2 | 0.0 | 0.000 |
| 3 | 2.1 | 1.750 |
| 4 | 0.0 | 0.936 |
| 5 | 0.0 | 0.528 |
| 6 | 0.0 | 0.824 |